1.
The following is a DFT calculation (GGA-PBE) of a relaxed structure of Na2CaThO4.

Lattice parameters (Å, degrees): 3.6081 5.9252 6.0604 71.20 90.00 90.00
With the nearest neighbours (Å) after each atom.
Element x y z (fractional)
Na (0.0000, 0.0000, 0.0000)  6 O 2.60-2.66
Na (0.5000, 0.0000, 0.5000)  6 O 2.49-2.61
Ca (0.5000, 0.5000, 0.0000)  6 O 2.40-2.42
Th (0.0000, 0.5000, 0.5000)  6 O 2.28-2.37
O (0.0000, 0.7133, 0.7525)  1 Th 2.28, 2 Ca 2.42
O (0.0000, 0.2867, 0.2475)  1 Th 2.28, 2 Ca 2.42
O (0.5000, 0.7155, 0.2745)  2 Th 2.37, 1 Ca 2.40, 3 Na 2.49-2.66
O (0.5000, 0.2845, 0.7255)  2 Th 2.37, 1 Ca 2.40, 3 Na 2.49-2.66

=====

2.
The following is a DFT calculation (GGA-PBE) of a relaxed structure of Na2CaTiO4.

Lattice parameters (Å, degrees): 6.5293 6.5293 6.6785 120.76 120.76 90.73
With the nearest neighbours (Å) after each atom.
Element x y z (fractional)
Na (0.5000, 0.0000, 0.0000)  6 O 2.35-2.36
Na (0.5000, 0.0000, 0.5000)  6 O 2.35-2.36
Na (0.0000, 0.0000, 0.5000)  6 O 2.52-2.69
Na (0.5000, 0.5000, 0.0000)  6 O 2.52-2.69
Ca (0.0000, 0.5000, 0.0000)  6 O 2.30-2.33
Ca (0.0000, 0.5000, 0.5000)  6 O 2.30-2.33
Ti (0.5000, 0.5000, 0.5000)  6 O 1.96-2.09
Ti (0.9999, 0.0000, 0.9999)  6 O 1.96-2.09
O (0.2051, 0.7842, 0.9947)  1 Ti 1.96
O (0.7158, 0.2949, 0.5053)  1 Ti 1.96
O (0.2842, 0.7051, 0.4947)  1 Ti 1.96
O (0.7949, 0.2158, 0.0053)  1 Ti 1.96
O (0.7518, 0.7482, 0.9555)  2 Ti 2.09, 1 Ca 2.33
O (0.7518, 0.7483, 0.5446)  2 Ti 2.09, 1 Ca 2.33
O (0.2483, 0.2518, 0.4555)  2 Ti 2.09, 1 Ca 2.33
O (0.2482, 0.2518, 0.0445)  2 Ti 2.09, 1 Ca 2.33

=====

3.
The following is a DFT calculation (GGA-PBE) of a relaxed structure of NaCa2TiO4.

Lattice parameters (Å, degrees): 3.4004 6.3776 12.1947 90.00 90.00 105.46
With the nearest neighbours (Å) after each atom.
Element x y z (fractional)
Na (0.0535, 0.1071, 0.7500)  2 O 2.65
Na (0.9465, 0.8929, 0.2500)  2 O 2.65
Ca (0.3726, 0.7453, 0.5301)  5 O 2.30-2.43
Ca (0.6274, 0.2547, 0.0301)  5 O 2.30-2.43
Ca (0.6274, 0.2547, 0.4699)  5 O 2.30-2.43
Ca (0.3726, 0.7453, 0.9699)  5 O 2.30-2.43
Ti (0.8066, 0.6133, 0.7500)  4 O 1.85-1.97
Ti (0.1934, 0.3867, 0.2500)  4 O 1.85-1.97
O (0.2454, 0.4908, 0.1077)  1 Ti 1.85
O (0.7546, 0.5092, 0.6077)  1 Ti 1.85
O (0.7546, 0.5092, 0.8923)  1 Ti 1.85
O (0.2454, 0.4908, 0.3923)  1 Ti 1.85
O (0.0000, 0.0000, 0.5000)  4 Ca 2.34
O (0.0000, 0.0000, 0.0000)  4 Ca 2.34
O (0.3881, 0.7761, 0.7500)  2 Ti 1.97
O (0.6119, 0.2239, 0.2500)  2 Ti 1.97

=====

4.
The following is a DFT calculation (GGA-PBE) of a relaxed structure of Na2CaTi3O8.

Lattice parameters (Å, degrees): 6.1162 6.1162 6.5239 62.05 62.05 60.00
With the nearest neighbours (Å) after each atom.
Element x y z (fractional)
Na (0.1236, 0.1236, 0.6293)  4 O 2.22-2.34
Na (0.4997, 0.4997, 0.5010)  6 O 2.32-2.35
Ca (0.8765, 0.8765, 0.3704)  4 O 2.19-2.35
Ti (0.4983, 0.0046, 0.9988)  6 O 1.93-2.10
Ti (0.0046, 0.4983, 0.9988)  6 O 1.93-2.10
Ti (0.4983, 0.4983, 0.9988)  6 O 1.93-2.10
O (0.2659, 0.2659, 0.2023)  3 Ti 2.07
O (0.7339, 0.7339, 0.7982)  3 Ti 2.10, 1 Ca 2.35
O (0.2456, 0.2456, 0.8187)  2 Ti 1.93
O (0.6900, 0.2456, 0.8187)  2 Ti 1.93
O (0.2456, 0.6900, 0.8187)  2 Ti 1.93
O (0.7522, 0.3063, 0.1894)  2 Ti 1.99, 1 Ca 2.19
O (0.3063, 0.7522, 0.1894)  2 Ti 1.99, 1 Ca 2.19
O (0.7522, 0.7522, 0.1894)  2 Ti 1.99, 1 Ca 2.19

=====

5.
The following is a DFT calculation (GGA-PBE) of a relaxed structure of Na4CaTl3O8.

Lattice parameters (Å, degrees): 6.8052 6.8449 6.8050 119.81 120.00 90.00
With the nearest neighbours (Å) after each atom.
Element x y z (fractional)
Na (0.5000, 0.0000, 0.0000)  6 O 2.46
Na (0.5000, 0.0000, 0.5000)  6 O 2.47-2.52
Na (0.0000, 0.0000, 0.0000)  6 O 2.47-2.52
Na (0.0000, 0.0000, 0.5000)  6 O 2.47-2.52
Ca (0.0000, 0.5000, 0.0000)  6 O 2.37
Tl (0.5000, 0.5000, 0.0000)  6 O 2.31-2.35
Tl (0.5000, 0.5000, 0.5000)  6 O 2.31-2.36
Tl (0.0000, 0.5000, 0.5000)  6 O 2.31-2.36
O (0.2452, 0.7239, 0.9787)  2 Tl 2.31, 1 Ca 2.37, 3 Na 2.46-2.52
O (0.2452, 0.7239, 0.4905)  2 Tl 2.31, 1 Ca 2.37, 3 Na 2.46-2.52
O (0.2561, 0.2683, 0.5122)  3 Tl 2.35-2.36, 3 Na 2.47
O (0.7335, 0.7239, 0.9787)  2 Tl 2.31, 1 Ca 2.37, 3 Na 2.46-2.52
O (0.2665, 0.2761, 0.0213)  2 Tl 2.31, 1 Ca 2.37, 3 Na 2.46-2.52
O (0.7439, 0.7317, 0.4878)  3 Tl 2.35-2.36, 3 Na 2.47
O (0.7548, 0.2761, 0.5095)  2 Tl 2.31, 1 Ca 2.37, 3 Na 2.46-2.52
O (0.7548, 0.2761, 0.0213)  2 Tl 2.31, 1 Ca 2.37, 3 Na 2.46-2.52

=====

6.
The following is a DFT calculation (GGA-PBE) of a relaxed structure of NaCaTlO3.

Lattice parameters (Å, degrees): 3.4631 8.4260 5.8644 90.36 90.00 90.00
With the nearest neighbours (Å) after each atom.
Element x y z (fractional)
Na (0.2500, 0.0045, 0.7467)  6 O 2.46-2.56
Na (0.7500, 0.9955, 0.2533)  6 O 2.46-2.56
Ca (0.7500, 0.6743, 0.5817)  6 O 2.31-2.49
Ca (0.2500, 0.3257, 0.4183)  6 O 2.31-2.49
Tl (0.2500, 0.6797, 0.0840)  6 O 2.23-2.49
Tl (0.7500, 0.3203, 0.9160)  6 O 2.23-2.49
O (0.2500, 0.8120, 0.4147)  1 Tl 2.23, 2 Ca 2.31
O (0.7500, 0.8163, 0.9203)  2 Tl 2.29, 1 Ca 2.31, 3 Na 2.46-2.56
O (0.7500, 0.4979, 0.2404)  3 Tl 2.41-2.49, 3 Ca 2.49
O (0.7500, 0.1880, 0.5853)  1 Tl 2.23, 2 Ca 2.31
O (0.2500, 0.5021, 0.7595)  3 Tl 2.41-2.49, 3 Ca 2.49
O (0.2500, 0.1837, 0.0797)  2 Tl 2.29, 1 Ca 2.31, 3 Na 2.46-2.56

=====

7.
The following is a DFT calculation (GGA-PBE) of a relaxed structure of NaCa2TlO.

Lattice parameters (Å, degrees): 4.7273 4.7273 5.1841 90.00 90.00 90.00
With the nearest neighbours (Å) after each atom.
Element x y z (fractional)
Na (0.0000, 0.0000, 0.5000)  2 O 2.59
Tl (0.5000, 0.5000, 0.5000)  4 Na 3.34, 8 Ca 3.51
Ca (0.0000, 0.5000, 0.0000)  2 O 2.36
Ca (0.5000, 0.0000, 0.0000)  2 O 2.36
O (0.0000, 0.0000, 0.0000)  4 Ca 2.36, 2 Na 2.59

=====

8.
The following is a DFT calculation (GGA-PBE) of a relaxed structure of NaCaTl2O4.

Lattice parameters (Å, degrees): 4.9427 4.9427 5.9117 114.71 114.71 90.00
With the nearest neighbours (Å) after each atom.
Element x y z (fractional)
Na (0.4373, 0.4373, 0.0000)  6 O 2.42-2.47
Ca (0.9372, 0.9372, 0.0000)  6 O 2.34-2.47
Tl (0.1871, 0.6871, 0.5000)  6 O 2.38-2.47
Tl (0.6871, 0.1871, 0.5000)  6 O 2.38-2.47
O (0.9372, 0.4372, 0.0000)  2 Tl 2.38, 2 Na 2.47, 2 Ca 2.47
O (0.4372, 0.9372, 0.0000)  2 Tl 2.38, 2 Na 2.47, 2 Ca 2.47
O (0.1829, 0.1829, 0.4916)  1 Ca 2.34, 1 Na 2.42, 4 Tl 2.47
O (0.6913, 0.6913, 0.5084)  1 Ca 2.34, 1 Na 2.42, 4 Tl 2.47

=====

9.
The following is a DFT calculation (GGA-PBE) of a relaxed structure of NaCa2TlO4.

Lattice parameters (Å, degrees): 6.7705 6.7705 6.9031 120.65 120.65 87.39
With the nearest neighbours (Å) after each atom.
Element x y z (fractional)
Na (0.0000, 0.5000, 0.0000)  6 O 2.35-2.52
Na (0.0000, 0.5000, 0.5000)  6 O 2.35-2.52
Ca (0.5000, 0.0000, 0.0000)  6 O 2.32-2.38
Ca (0.5000, 0.0000, 0.5000)  6 O 2.32-2.38
Ca (0.0000, 0.0000, 0.5000)  6 O 2.40-2.44
Ca (0.5000, 0.5000, 0.0000)  6 O 2.40-2.44
Tl (0.5000, 0.5000, 0.5000)  6 O 2.24-2.49
Tl (0.0000, 0.0000, 0.0000)  6 O 2.24-2.49
O (0.2535, 0.7744, 0.0139)  1 Tl 2.24, 3 Ca 2.38-2.44
O (0.7256, 0.2465, 0.4861)  1 Tl 2.24, 3 Ca 2.38-2.44
O (0.2744, 0.7535, 0.5139)  1 Tl 2.24, 3 Ca 2.38-2.44
O (0.7465, 0.2256, 0.9861)  1 Tl 2.24, 3 Ca 2.38-2.44
O (0.7484, 0.7516, 0.0093)  3 Ca 2.32-2.40, 1 Na 2.35, 2 Tl 2.49
O (0.7484, 0.7516, 0.4908)  3 Ca 2.32-2.40, 1 Na 2.35, 2 Tl 2.49
O (0.2516, 0.2484, 0.5093)  3 Ca 2.32-2.40, 1 Na 2.35, 2 Tl 2.49
O (0.2516, 0.2484, 0.9908)  3 Ca 2.32-2.40, 1 Na 2.35, 2 Tl 2.49

=====

10.
The following is a DFT calculation (GGA-PBE) of a relaxed structure of Na2CaUO4.

Lattice parameters (Å, degrees): 3.4735 5.9763 5.9297 109.22 90.00 90.00
With the nearest neighbours (Å) after each atom.
Element x y z (fractional)
Na (0.5000, 0.0000, 0.5000)  6 O 2.57-2.68
Na (0.0000, 0.5000, 0.5000)  6 O 2.48-2.53
Ca (0.0000, 0.0000, 0.0000)  6 O 2.39
U (0.5000, 0.5000, 0.0000)  6 O 2.18-2.33
O (0.5000, 0.2611, 0.2088)  1 U 2.18, 2 Ca 2.39
O (0.5000, 0.7389, 0.7912)  1 U 2.18, 2 Ca 2.39
O (0.0000, 0.2706, 0.7801)  2 U 2.33, 1 Ca 2.39, 3 Na 2.48-2.57
O (0.0000, 0.7294, 0.2199)  2 U 2.33, 1 Ca 2.39, 3 Na 2.48-2.57

=====

Number 1: E_form (uncorrected) -2.682 eV/atom, total magnetization 0.000 μB per atom. Number 2: E_form (uncorrected) -2.489 eV/atom, total magnetization 0.000 μB per atom. Number 3: E_form (uncorrected) -2.538 eV/atom, total magnetization 0.106 μB per atom. Number 4: E_form (uncorrected) -2.747 eV/atom, total magnetization 0.000 μB per atom. Number 5: E_form (uncorrected) -1.272 eV/atom, total magnetization 0.073 μB per atom. Number 6: E_form (uncorrected) -1.680 eV/atom, total magnetization 0.000 μB per atom. Number 7: E_form (uncorrected) -1.199 eV/atom, total magnetization 0.000 μB per atom. Number 8: E_form (uncorrected) -1.383 eV/atom, total magnetization 0.000 μB per atom. Number 9: E_form (uncorrected) -1.986 eV/atom, total magnetization 0.000 μB per atom. Number 10: E_form (uncorrected) -2.525 eV/atom, total magnetization 0.250 μB per atom.